Record 1
The following is a DFT calculation (PBE) of a geometry-optimized SmDy4Ho3S8 structure.

Values from the calculation:
Volume: 21.2 Å³/atom
Space group: R-3m, No. 166
ΔE_f (raw): -1.9836 eV/atom

a = 7.825 Å, b = 7.822 Å, c = 7.825 Å
α = 120.01°, β = 120.00°, γ = 90.00°
Positions (direct):
Sm: 0.000 0.500 0.000
Dy: 0.500 0.000 0.000
Dy: 0.500 0.000 0.500
Dy: 0.000 0.000 0.000
Dy: 0.000 0.000 0.500
Ho: 0.500 0.500 0.000
Ho: 0.500 0.500 0.500
Ho: 0.000 0.500 0.500
S: 0.253 0.752 0.998
S: 0.253 0.752 0.507
S: 0.251 0.252 0.502
S: 0.745 0.752 0.998
S: 0.255 0.248 0.002
S: 0.749 0.748 0.498
S: 0.747 0.248 0.493
S: 0.747 0.248 0.002

Record 2
The following is a DFT calculation (PBE) of a geometry-optimized SmDy2HoS4 structure.

Values from the calculation:
Volume: 21.4 Å³/atom
Space group: P2/m, No. 10
ΔE_f (raw): -1.9918 eV/atom

a = 3.890 Å, b = 6.809 Å, c = 6.838 Å
α = 70.97°, β = 90.00°, γ = 90.00°
Positions (direct):
Sm: 0.500 0.500 0.000
Dy: 0.000 0.000 0.000
Dy: 0.500 0.000 0.500
Ho: 0.000 0.500 0.500
S: 0.000 0.756 0.743
S: 0.000 0.244 0.257
S: 0.500 0.752 0.255
S: 0.500 0.248 0.745

Record 3
The following is a DFT calculation (PBE) of a geometry-optimized Sm4DyHo3S8 structure.

Values from the calculation:
Volume: 21.8 Å³/atom
Space group: R-3m, No. 166
ΔE_f (raw): -2.0011 eV/atom

a = 7.862 Å, b = 7.941 Å, c = 7.862 Å
α = 119.67°, β = 120.00°, γ = 90.00°
Positions (direct):
Sm: 0.500 0.000 0.000
Sm: 0.500 0.000 0.500
Sm: 0.000 0.000 0.000
Sm: 0.000 0.000 0.500
Dy: 0.000 0.500 0.000
Ho: 0.500 0.500 0.000
Ho: 0.500 0.500 0.500
Ho: 0.000 0.500 0.500
S: 0.246 0.738 0.991
S: 0.246 0.738 0.493
S: 0.254 0.263 0.509
S: 0.745 0.738 0.991
S: 0.255 0.262 0.009
S: 0.746 0.737 0.491
S: 0.754 0.262 0.507
S: 0.754 0.262 0.009

Record 4
The following is a DFT calculation (PBE) of a geometry-optimized Sr3Dy3HoS8 structure.

Values from the calculation:
Volume: 25.3 Å³/atom
Space group: R-3m, No. 166
ΔE_f (raw): -2.0874 eV/atom

a = 7.993 Å, b = 7.993 Å, c = 8.264 Å
α = 118.92°, β = 90.00°, γ = 120.00°
Positions (direct):
Sr: 0.000 0.000 0.000
Sr: 0.000 0.500 0.000
Sr: 0.500 0.500 0.000
Dy: 0.500 0.000 0.500
Dy: 0.500 0.500 0.500
Dy: 0.000 0.500 0.500
Ho: 0.000 0.000 0.500
S: 0.257 0.514 0.271
S: 0.743 0.486 0.729
S: 0.760 0.520 0.277
S: 0.240 0.480 0.723
S: 0.760 0.017 0.277
S: 0.240 0.983 0.723
S: 0.257 0.017 0.277
S: 0.743 0.983 0.723

Record 5
The following is a DFT calculation (PBE) of a geometry-optimized SrDy2HoS4 structure.

Values from the calculation:
Volume: 22.2 Å³/atom
Space group: P2/m, No. 10
ΔE_f (raw): -1.9839 eV/atom

a = 3.955 Å, b = 6.899 Å, c = 6.900 Å
α = 70.93°, β = 90.00°, γ = 90.00°
Positions (direct):
Sr: 0.500 0.500 0.000
Dy: 0.000 0.000 0.000
Dy: 0.500 0.000 0.500
Ho: 0.000 0.500 0.500
S: 0.000 0.762 0.737
S: 0.000 0.238 0.263
S: 0.500 0.754 0.257
S: 0.500 0.246 0.743

Record 6
The following is a DFT calculation (PBE) of a geometry-optimized TbDy2HoS6 structure.

Values from the calculation:
Volume: 25.5 Å³/atom
Space group: R3, No. 146
ΔE_f (raw): -2.0617 eV/atom

a = 6.913 Å, b = 6.913 Å, c = 7.348 Å
α = 61.94°, β = 61.93°, γ = 59.99°
Positions (direct):
Tb: 0.315 0.315 0.055
Dy: 0.516 0.516 0.451
Dy: 0.017 0.017 0.949
Ho: 0.816 0.816 0.552
S: 0.618 0.216 0.252
S: 0.216 0.914 0.252
S: 0.914 0.618 0.252
S: 0.418 0.717 0.751
S: 0.717 0.114 0.751
S: 0.114 0.418 0.751

Record 7
The following is a DFT calculation (PBE) of a geometry-optimized Tb3Dy3HoS8 structure.

Values from the calculation:
Volume: 22.5 Å³/atom
Space group: R-3m, No. 166
ΔE_f (raw): -2.0565 eV/atom

a = 7.810 Å, b = 7.810 Å, c = 7.816 Å
α = 119.98°, β = 90.00°, γ = 120.00°
Positions (direct):
Tb: 0.000 0.000 0.000
Tb: 0.000 0.500 0.000
Tb: 0.500 0.500 0.000
Dy: 0.500 0.000 0.500
Dy: 0.500 0.500 0.500
Dy: 0.000 0.500 0.500
Ho: 0.000 0.000 0.500
S: 0.251 0.501 0.252
S: 0.749 0.499 0.748
S: 0.751 0.501 0.252
S: 0.249 0.499 0.748
S: 0.751 0.001 0.252
S: 0.249 0.999 0.748
S: 0.251 0.001 0.252
S: 0.749 0.999 0.748

Record 8
The following is a DFT calculation (PBE) of a geometry-optimized Tb4Dy3HoS8 structure.

Values from the calculation:
Volume: 21.2 Å³/atom
Space group: R-3m, No. 166
ΔE_f (raw): -1.9949 eV/atom

a = 7.826 Å, b = 7.831 Å, c = 7.825 Å
α = 119.98°, β = 120.00°, γ = 90.00°
Positions (direct):
Tb: 0.500 0.000 0.000
Tb: 0.500 0.000 0.500
Tb: 0.000 0.000 0.000
Tb: 0.000 0.000 0.500
Dy: 0.500 0.500 0.000
Dy: 0.500 0.500 0.500
Dy: 0.000 0.500 0.500
Ho: 0.000 0.500 0.000
S: 0.248 0.747 0.998
S: 0.248 0.747 0.497
S: 0.251 0.252 0.502
S: 0.750 0.747 0.998
S: 0.250 0.253 0.002
S: 0.749 0.748 0.498
S: 0.752 0.253 0.503
S: 0.752 0.253 0.002

Record 9
The following is a DFT calculation (PBE) of a geometry-optimized TbDy2Ho3S6 structure.

Values from the calculation:
Volume: 20.9 Å³/atom
Space group: C2/m, No. 12
ΔE_f (raw): -1.9902 eV/atom

a = 6.756 Å, b = 6.756 Å, c = 6.751 Å
α = 99.56°, β = 99.56°, γ = 120.23°
Positions (direct):
Tb: 0.000 0.000 0.000
Dy: 0.333 0.667 0.000
Dy: 0.667 0.333 0.000
Ho: 0.166 0.834 0.500
Ho: 0.834 0.166 0.500
Ho: 0.500 0.500 0.500
S: 0.916 0.581 0.747
S: 0.750 0.750 0.252
S: 0.084 0.419 0.253
S: 0.581 0.916 0.747
S: 0.250 0.250 0.748
S: 0.419 0.084 0.253

Record 10
The following is a DFT calculation (PBE) of a geometry-optimized TbDyHo2S5 structure.

Values from the calculation:
Volume: 24.5 Å³/atom
Space group: Cmc2_1, No. 36
ΔE_f (raw): -1.8848 eV/atom

a = 3.904 Å, b = 8.300 Å, c = 13.987 Å
α = 90.00°, β = 90.00°, γ = 103.60°
Last column: magnetic moment on the atom in μB.
Positions (direct):
Tb: 0.565 0.130 0.930  0.26
Tb: 0.435 0.870 0.430  0.26
Dy: 0.739 0.479 0.529  -0.01
Dy: 0.261 0.521 0.029  -0.01
Ho: 0.838 0.676 0.750  0.05
Ho: 0.052 0.104 0.665  0.11
Ho: 0.162 0.324 0.250  0.05
Ho: 0.948 0.896 0.165  0.11
S: 0.423 0.846 0.035  0.00
S: 0.735 0.471 0.900  0.00
S: 0.465 0.929 0.772  0.00
S: 0.230 0.460 0.676  0.00
S: 0.902 0.805 0.566  0.01
S: 0.577 0.154 0.535  0.00
S: 0.265 0.529 0.400  0.00
S: 0.535 0.071 0.272  0.00
S: 0.770 0.540 0.176  0.00
S: 0.098 0.195 0.066  0.01

Record 11
The following is a DFT calculation (PBE) of a geometry-optimized TbDy4HoS8 structure.

Values from the calculation:
Volume: 26.3 Å³/atom
Space group: R3m, No. 160
ΔE_f (raw): -1.9332 eV/atom

a = 8.048 Å, b = 8.048 Å, c = 8.044 Å
α = 59.98°, β = 59.98°, γ = 60.00°
Positions (direct):
Tb: 0.375 0.375 0.875
Dy: 0.625 0.625 0.126
Dy: 0.000 0.500 0.500
Dy: 0.500 0.000 0.500
Dy: 0.000 0.000 0.500
Ho: 0.000 0.000 0.000
S: 0.241 0.774 0.743
S: 0.774 0.241 0.743
S: 0.241 0.241 0.743
S: 0.242 0.242 0.274
S: 0.758 0.227 0.256
S: 0.227 0.758 0.256
S: 0.758 0.758 0.256
S: 0.757 0.757 0.728

Record 12
The following is a DFT calculation (PBE) of a geometry-optimized TbDy3Ho3S8 structure.

Values from the calculation:
Volume: 22.2 Å³/atom
Space group: R-3m, No. 166
ΔE_f (raw): -2.0455 eV/atom

a = 7.776 Å, b = 7.775 Å, c = 7.779 Å
α = 119.98°, β = 90.00°, γ = 120.00°
Positions (direct):
Tb: 0.000 0.000 0.500
Dy: 0.000 0.000 0.000
Dy: 0.000 0.500 0.000
Dy: 0.500 0.500 0.000
Ho: 0.500 0.000 0.500
Ho: 0.500 0.500 0.500
Ho: 0.000 0.500 0.500
S: 0.251 0.501 0.252
S: 0.749 0.499 0.748
S: 0.748 0.495 0.249
S: 0.252 0.505 0.751
S: 0.748 0.001 0.249
S: 0.252 0.999 0.751
S: 0.254 0.001 0.249
S: 0.746 0.999 0.751

volume of number 9 (TbDy2Ho3S6)?
20.9 Å³/atom

What is the ΔE_f (raw) in the ninth record?
-1.9902 eV/atom

Look up the volume of the twelfth one.
22.2 Å³/atom